The following is a PBE-GGA calculation of OsPb2O6 after structural relaxation, from the Alexandria database.

Cell and atoms, written as POSCAR:
```
OsPb2O6
1.0
5.831 0.000 0.000
0.000 5.875 0.000
-4.968 0.000 8.603
Os Pb O
2 4 12
Direct
0.000 0.000 0.000
0.000 0.500 0.500
0.311 0.067 0.777
0.311 0.433 0.277
0.689 0.567 0.723
0.689 0.933 0.223
0.019 0.106 0.185
0.019 0.394 0.685
0.230 0.742 0.609
0.230 0.758 0.109
0.306 0.178 0.046
0.306 0.322 0.546
0.694 0.678 0.454
0.694 0.822 0.954
0.770 0.242 0.891
0.770 0.258 0.391
0.981 0.606 0.315
0.981 0.894 0.815
```

E_tot ... -6.419 eV per atom
Spin magnetization ... 0.0 Bohr magnetons per cell